(1)
VASP calculation (GGA-PBE) on a relaxed TaBe2Pd2 crystal. Values from VASP.

Output
Distance to the lowest polymorph of the same formula: 0.0000 eV per atom
Formation energy from the elements: -333 meV/atom
E: -31.4 eV/f.u.
N(E_F): 2.8 states/eV/f.u.
Magnetization: 0.000 μB per formula unit

```
&SYSTEM
  ibrav = 0, nat = 10, ntyp = 3
/
ATOMIC_SPECIES
Ta 180.95 Ta.upf
Be 9.01 Be.upf
Pd 106.42 Pd.upf
CELL_PARAMETERS angstrom
6.886 0.000 0.000
0.000 6.886 0.000
0.000 0.000 2.727
ATOMIC_POSITIONS angstrom
Ta 0.000 0.000 0.000
Ta 3.443 3.443 0.000
Be 0.818 2.625 0.000
Be 2.625 6.067 0.000
Be 4.261 0.818 0.000
Be 6.067 4.261 0.000
Pd 1.189 4.632 1.363
Pd 2.253 1.189 1.363
Pd 4.632 5.696 1.363
Pd 5.696 2.253 1.363
```

=====

(2)
VASP calculation (GGA-PBE) on a relaxed La4MgFe crystal. Values from VASP.

Output
Distance to the lowest polymorph of the same formula: 0.6544 eV per atom
Formation energy from the elements: 648 meV/atom
E: -25.9 eV/f.u.
N(E_F): 11.6 states/eV/f.u.
Magnetization: 2.298 μB per formula unit

```
&SYSTEM
  ibrav = 0, nat = 6, ntyp = 3
/
ATOMIC_SPECIES
La 138.91 La.upf
Mg 24.30 Mg.upf
Fe 55.84 Fe.upf
CELL_PARAMETERS angstrom
0.000 4.587 4.587
4.587 0.000 4.587
4.587 4.587 0.000
ATOMIC_POSITIONS angstrom
La 3.450 3.450 3.450
La 5.724 5.724 3.450
La 5.724 3.450 5.724
La 3.450 5.724 5.724
Mg 0.000 0.000 0.000
Fe 6.880 6.880 6.880
```

=====

(3)
VASP calculation (GGA-PBE) on a relaxed Tb6Sm2DyY crystal. Values from VASP.

Output
Formation energy from the elements: 115 meV/atom
E: -47.1 eV/f.u.
N(E_F): 13.8 states/eV/f.u.
Magnetization: 0.000 μB per formula unit

```
&SYSTEM
  ibrav = 0, nat = 20, ntyp = 4
/
ATOMIC_SPECIES
Tb 158.93 Tb.upf
Sm 150.36 Sm.upf
Dy 162.50 Dy.upf
Y 88.91 Y.upf
CELL_PARAMETERS angstrom
4.519 -7.581 0.000
4.519 7.581 0.000
-1.398 0.000 9.561
ATOMIC_POSITIONS angstrom
Tb 2.427 4.189 1.789
Tb 3.175 4.715 5.319
Tb 3.767 4.715 9.023
Tb 3.040 1.595 3.633
Tb 5.913 4.189 2.992
Tb 2.341 -1.595 8.414
Tb 5.299 1.595 1.148
Tb 1.728 -4.189 6.570
Tb 4.600 -1.595 5.928
Tb 3.874 -4.715 0.539
Tb 4.466 -4.715 4.242
Tb 5.214 -4.189 7.772
Sm 2.182 0.812 0.405
Sm 1.483 -0.812 5.186
Sm 6.158 0.812 4.375
Sm 5.459 -0.812 9.156
Dy 3.471 1.394 7.171
Dy 4.170 -1.394 2.390
Y 4.170 7.278 2.390
Y 3.471 -7.278 7.171
```

=====

(4)
VASP calculation (GGA-PBE) on a relaxed Na2Ca2Sb crystal. Values from VASP.

Output
Distance to the lowest polymorph of the same formula: 0.0323 eV per atom
E: -11.7 eV/f.u.
N(E_F): 4.2 states/eV/f.u.
Magnetization: 0.413 μB per formula unit

```
&SYSTEM
  ibrav = 0, nat = 10, ntyp = 3
/
ATOMIC_SPECIES
Na 22.99 Na.upf
Ca 40.08 Ca.upf
Sb 121.76 Sb.upf
CELL_PARAMETERS angstrom
7.867 0.000 0.000
0.000 7.867 0.000
0.000 0.000 5.201
ATOMIC_POSITIONS angstrom
Na 1.031 2.903 0.000
Na 2.903 6.836 0.000
Na 4.964 1.031 0.000
Na 6.836 4.964 0.000
Ca 1.467 5.401 2.601
Ca 2.466 1.467 2.601
Ca 5.401 6.400 2.601
Ca 6.400 2.466 2.601
Sb 0.000 0.000 0.000
Sb 3.933 3.933 0.000
```

=====

Number 1: calculated volume 129.3 Å³/cell. Number 2: calculated volume 193.0 Å³/cell. Number 3: calculated volume 655.1 Å³/cell. Number 4: calculated volume 321.9 Å³/cell.